The following is a PBEsol calculation of an optimized crystal structure of Na2FePCO7, from Alexandria via LeMat-Bulk.

abc: 5.2555 6.4831 8.8471
angles: 90.00 91.87 90.00
Space group P2_1 (No. 4)
Inequivalent atoms, fractional coordinates:
Na: 0.2240 0.0000 0.0806
Na: 0.2538 0.2586 0.7294
Fe: 0.2176 0.4734 0.3457
P: 0.2755 0.9831 0.4245
C: 0.2932 0.4860 0.0686
O: 0.0637 0.4876 0.1230
O: 0.1145 0.9953 0.5664
O: 0.2075 0.7956 0.3234
O: 0.2276 0.1732 0.3217
O: 0.3305 0.4658 0.9288
O: 0.4386 0.4715 0.5251
O: 0.4781 0.5014 0.1698

Values from the calculation:
Raw formation energy, eV/atom: -1.796
Mass density, g cm⁻³: 2.83
Uncorrected energy, eV per cell: -171.0